(1)
# CeCr3C2 (PBE, optimized geometry)
# - spin magnetization (μB/f.u.) = 0.06
# - raw total energy (eV per cell) = -107.37
# - ΔE_f (eV/f.u.) = -0.432
data_CeCr3C2
_chemical_formula_sum 'Ce2 Cr6 C4'
_space_group_name_H-M_alt 'P 1'
_space_group_IT_number 1
_space_group_name_Hall 'P 1'
_cell_length_a 6.275
_cell_length_b 6.275
_cell_length_c 7.692
_cell_angle_alpha 120.07
_cell_angle_beta 120.07
_cell_angle_gamma 35.37
loop_
_atom_site_label
_atom_site_fract_x
_atom_site_fract_y
_atom_site_fract_z
Ce1 0.135 0.135 0.017
Ce2 0.865 0.865 0.983
Cr1 0.047 0.047 0.394
Cr2 0.289 0.289 0.608
Cr3 0.381 0.381 0.349
Cr4 0.619 0.619 0.651
Cr5 0.711 0.711 0.392
Cr6 0.953 0.953 0.606
C1 0.176 0.176 0.725
C2 0.475 0.475 0.699
C3 0.525 0.525 0.301
C4 0.824 0.824 0.275

***

(2)
# Ce2CrC3 (PBE, optimized geometry)
# - spin magnetization (μB/f.u.) = 0.02
# - raw total energy (eV per cell) = -98.72
# - ΔE_f (eV/f.u.) = -0.195
data_Ce2CrC3
_chemical_formula_sum 'Ce4 Cr2 C6'
_space_group_name_H-M_alt 'P 1'
_space_group_IT_number 1
_space_group_name_Hall 'P 1'
_cell_length_a 5.831
_cell_length_b 5.831
_cell_length_c 5.061
_cell_angle_alpha 90.00
_cell_angle_beta 90.00
_cell_angle_gamma 72.39
loop_
_atom_site_label
_atom_site_fract_x
_atom_site_fract_y
_atom_site_fract_z
Ce1 0.015 0.676 0.750
Ce2 0.324 0.985 0.750
Ce3 0.676 0.015 0.250
Ce4 0.985 0.324 0.250
Cr1 0.417 0.583 0.250
Cr2 0.583 0.417 0.750
C1 0.154 0.846 0.250
C2 0.344 0.344 0.000
C3 0.344 0.344 0.500
C4 0.656 0.656 0.000
C5 0.656 0.656 0.500
C6 0.846 0.154 0.750

***

(3)
# CeDy2Cr2C4 (PBE, optimized geometry)
# - spin magnetization (μB/f.u.) = 0.00
# - raw total energy (eV per cell) = -71.97
# - ΔE_f (eV/f.u.) = -0.692
data_CeDy2Cr2C4
_chemical_formula_sum 'Ce1 Dy2 Cr2 C4'
_space_group_name_H-M_alt 'P 1'
_space_group_IT_number 1
_space_group_name_Hall 'P 1'
_cell_length_a 6.802
_cell_length_b 6.802
_cell_length_c 6.011
_cell_angle_alpha 110.90
_cell_angle_beta 110.90
_cell_angle_gamma 29.09
loop_
_atom_site_label
_atom_site_fract_x
_atom_site_fract_y
_atom_site_fract_z
Ce1 0.000 0.000 0.000
Dy1 0.135 0.135 0.541
Dy2 0.865 0.865 0.459
Cr1 0.320 0.320 0.016
Cr2 0.680 0.680 0.984
C1 0.219 0.219 0.189
C2 0.461 0.461 0.262
C3 0.539 0.539 0.738
C4 0.781 0.781 0.811